# CsCr2Re (PBE-GGA, optimized geometry)
data_CsCr2Re
_space_group_name_H-M_alt 'P 1'
_space_group_IT_number 1
_space_group_name_Hall 'P 1'
_cell_length_a 4.8596
_cell_length_b 4.8596
_cell_length_c 4.8596
_cell_angle_alpha 60.00
_cell_angle_beta 60.00
_cell_angle_gamma 60.00
loop_
_atom_site_label
_atom_site_fract_x
_atom_site_fract_y
_atom_site_fract_z
Cs1 0.0000 0.0000 0.0000
Re1 0.5000 0.5000 0.5000
Cr1 0.2500 0.2500 0.2500
Cr2 0.7500 0.7500 0.7500
# Calculated formation energy: 1945 meV/atom
# Space-group type: No. 225